1.
Compound: Pm2GaNi3
Source: the Alexandria database
Functional: PBE
Structure: optimized geometry

a = 4.1193 Å, b = 4.1193 Å, c = 15.7621 Å
α = 90.00°, β = 90.00°, γ = 120.00°
Closest atoms and distances in Å follow each position.
Space group P6_3/mmc (No. 194)
Symmetry-distinct sites (fractional):
Pm 0.0000 0.0000 0.1200 x4  9 Ni 3.03-3.14, 3 Ga 3.14
Ga 0.3333 0.6667 0.2500 x2  3 Ni 2.38
Ni 0.3333 0.6667 0.0014 x4  3 Ni 2.38
Ni 0.3333 0.6667 0.7500 x2  3 Ga 2.38

magnetic moment: 0.19 μB per formula unit



2.
Compound: Pm4GaNi2
Source: the Alexandria database
Functional: PBE
Structure: optimized geometry

a = 6.8411 Å, b = 6.9446 Å, c = 8.6061 Å
α = 107.95°, β = 107.44°, γ = 103.91°
Closest atoms and distances in Å follow each position.
Space group P1 (No. 1)
Symmetry-distinct sites (fractional):
Pm 0.0000 0.0000 0.0000 x1  3 Ni 2.84-3.08
Pm 0.0271 0.5294 0.0593 x1  3 Ni 2.83-3.08
Pm 0.1278 0.3133 0.4621 x1  2 Ni 2.71-2.84
Pm 0.4113 0.2743 0.8808 x1  3 Ni 2.72-2.93, 1 Ga 3.02
Pm 0.5291 0.8462 0.6015 x1  3 Ni 2.83-2.92
Pm 0.5611 0.9203 0.1785 x1  3 Ni 2.73-2.93, 1 Ga 3.02
Pm 0.6943 0.3799 0.5954 x1  2 Ni 2.71-2.84
Pm 0.9586 0.7747 0.4598 x1  3 Ni 2.83-2.92
Ga 0.2186 0.6980 0.7982 x1  1 Ni 2.55
Ga 0.4506 0.4335 0.2615 x1  1 Ni 2.56
Ni 0.2688 0.9837 0.3509 x1  5 Pm 2.71-3.02
Ni 0.5896 0.6521 0.8544 x1  1 Ga 2.55, 3 Pm 2.72-2.84
Ni 0.7628 0.3261 0.2042 x1  1 Ga 2.56, 3 Pm 2.73-2.84
Ni 0.9472 0.1632 0.7087 x1  5 Pm 2.71-3.02

magnetic moment: 0.00 μB per formula unit



3.
Compound: Pm2GaNi4
Source: the Alexandria database
Functional: PBE
Structure: optimized geometry

a = 4.3919 Å, b = 4.3919 Å, c = 14.3348 Å
α = 90.00°, β = 90.00°, γ = 90.00°
Closest atoms and distances in Å follow each position.
Space group I4/mmm (No. 139)
Symmetry-distinct sites (fractional):
Pm 0.0000 0.0000 0.1437 x4  9 Ni 2.81-3.11
Ga 0.0000 0.0000 0.5000 x2  6 Ni 2.20-2.29
Ni 0.0000 0.0000 0.3400 x4  1 Ga 2.29
Ni 0.0000 0.5000 0.0000 x4  2 Ga 2.20

magnetic moment: 0.00 μB per formula unit



4.
Compound: PmGa2Ni4
Source: the Alexandria database
Functional: PBE
Structure: optimized geometry

a = 7.3222 Å, b = 7.3222 Å, c = 3.8514 Å
α = 90.00°, β = 90.00°, γ = 90.00°
Closest atoms and distances in Å follow each position.
Space group P4_2/mnm (No. 136)
Symmetry-distinct sites (fractional):
Pm 0.0000 0.0000 0.0000 x2  6 Ga 2.89-2.99, 4 Ni 3.20
Ga 0.2208 0.2208 0.5000 x4  6 Ni 2.44-2.46
Ni 0.0882 0.6470 0.5000 x8  3 Ga 2.44-2.46, 5 Ni 2.51-2.62

magnetic moment: 0.00 μB per formula unit



no.,ΔE_f (eV per atom),total DFT energy (no corrections) (eV per atom)
1,-0.43,-5.4088
2,-0.31,-5.1124
3,0.02,-5.0730
4,-0.42,-5.2657